No. 1
A plane-wave DFT calculation with PBE was carried out for a geometry-optimized LaMgPb2 structure.

E_form = -0.212 eV per atom

```
LaMgPb2
1.0
3.739 0.000 0.000
0.000 4.757 0.000
0.000 0.000 6.793
La Mg Pb
1 1 2
Direct
0.000 0.000 0.000 La
0.500 0.500 0.294 Mg
0.000 0.000 0.497 Pb
0.500 0.500 0.774 Pb
```

=====

No. 2
A plane-wave DFT calculation with PBE was carried out for a geometry-optimized LaMg2Pb structure.

E_form = -0.187 eV per atom

```
LaMg2Pb
1.0
3.713 0.000 0.000
0.000 3.713 0.000
0.000 0.000 8.063
La Mg Pb
1 2 1
Direct
0.000 0.000 0.000 La
0.000 0.000 0.486 Mg
0.500 0.500 0.284 Mg
0.500 0.500 0.710 Pb
```

=====

No. 3
A plane-wave DFT calculation with PBE was carried out for a geometry-optimized LaMg2Pb structure.

E_form = -0.210 eV per atom

```
LaMg2Pb
1.0
5.405 0.000 0.000
0.000 5.405 0.000
0.000 0.000 7.664
La Mg Pb
2 4 2
Direct
0.000 0.000 0.000 La
0.500 0.500 0.500 La
0.000 0.000 0.500 Mg
0.000 0.500 0.750 Mg
0.500 0.000 0.250 Mg
0.500 0.500 0.000 Mg
0.000 0.500 0.250 Pb
0.500 0.000 0.750 Pb
```

=====

No. 4
A plane-wave DFT calculation with PBE was carried out for a geometry-optimized LaMg3Pb structure.

E_form = 0.279 eV per atom

```
LaMg3Pb
1.0
5.465 0.000 0.000
0.000 5.465 0.000
0.000 0.000 5.465
La Mg Pb
1 3 1
Direct
0.000 0.000 0.000 La
0.000 0.500 0.500 Mg
0.500 0.000 0.500 Mg
0.500 0.500 0.000 Mg
0.500 0.500 0.500 Pb
```

=====

Which value of E_form does entry 2 give? -0.187 eV per atom

=====

What is the E_form in the fourth record? 0.279 eV per atom

=====

Which of these has the lowest E_form? LaMgPb2